Fe3Co5: optimized geometry, PBE.

Cell: 8.402 8.402 8.402 Å, 160.58 152.50 33.89°
Site moments in Bohr magnetons follow the coordinates.
Sites, in units of the cell vectors:
Co 0.249 0.249 0.000  1.77
Co 0.999 0.999 0.000  1.75
Co 0.125 0.625 0.500  1.78
Co 0.625 0.125 0.500  1.78
Co 0.376 0.876 0.500  1.75
Fe 0.749 0.749 0.000  2.71
Fe 0.875 0.375 0.500  2.71
Fe 0.501 0.501 0.000  2.78

Properties
energy	-7.618	eV per atom
total moment	16.88	μB per cell
crystal system	orthorhombic